## Ba3Pa2CdO9 (PBE-GGA)

Data for Ba3Pa2CdO9 after structural relaxation.

Structure (POSCAR):
```
Ba3Pa2CdO9
1.0
6.2660 0.0000 0.0000
-3.1330 5.4265 0.0000
0.0000 0.0000 7.7335
Ba Pa Cd O
3 2 1 9
direct
0.0000 0.0000 0.0000 Ba
0.3333 0.6667 0.6417 Ba
0.6667 0.3333 0.3583 Ba
0.3333 0.6667 0.1686 Pa
0.6667 0.3333 0.8314 Pa
0.0000 0.0000 0.5000 Cd
0.0000 0.5000 0.0000 O
0.1734 0.3469 0.3267 O
0.1734 0.8266 0.3267 O
0.3469 0.1734 0.6733 O
0.5000 0.0000 0.0000 O
0.5000 0.5000 0.0000 O
0.6531 0.8266 0.3267 O
0.8266 0.1734 0.6733 O
0.8266 0.6531 0.6733 O
```

Summary:
Total magnetization, μB per atom: 0.00
Space group: No. 164
Uncorrected formation energy, eV per atom: -2.9835

## GdThInGa (PBE-GGA)

Data for GdThInGa after structural relaxation.

Structure (POSCAR):
```
GdThInGa
1.0
7.5212 0.0000 0.0000
0.0000 7.5212 0.0000
0.0000 0.0000 7.5212
Gd Th In Ga
4 4 4 4
direct
0.0000 0.0000 0.0000 Gd
0.0000 0.5000 0.5000 Gd
0.5000 0.0000 0.5000 Gd
0.5000 0.5000 0.0000 Gd
0.0000 0.0000 0.5000 Th
0.0000 0.5000 0.0000 Th
0.5000 0.0000 0.0000 Th
0.5000 0.5000 0.5000 Th
0.2500 0.2500 0.2500 In
0.2500 0.7500 0.7500 In
0.7500 0.2500 0.7500 In
0.7500 0.7500 0.2500 In
0.2500 0.2500 0.7500 Ga
0.2500 0.7500 0.2500 Ga
0.7500 0.2500 0.2500 Ga
0.7500 0.7500 0.7500 Ga
```

Summary:
Energy of formation, meV per atom: -367
Total magnetization, μB per atom: 1.82
Space group: No. 216

## V11Pt9Rh4 (PBE-GGA)

Data for V11Pt9Rh4 after structural relaxation.

Structure (POSCAR):
```
V11Pt9Rh4
1.0
7.8518 -8.0746 0.0000
7.8518 8.0746 0.0000
0.0000 0.0000 2.7134
V Pt Rh
11 9 4
direct
0.0000 0.0000 0.0000 V
0.0780 0.4167 0.0000 V
0.1704 0.8296 0.0000 V
0.2437 0.2437 0.0000 V
0.3491 0.6509 0.0000 V
0.4167 0.0780 0.0000 V
0.5833 0.9220 0.0000 V
0.6509 0.3491 0.0000 V
0.7563 0.7563 0.0000 V
0.8296 0.1704 0.0000 V
0.9220 0.5833 0.0000 V
0.0359 0.2056 0.5000 Pt
0.1338 0.6259 0.5000 Pt
0.2056 0.0359 0.5000 Pt
0.3741 0.8662 0.5000 Pt
0.5000 0.5000 0.5000 Pt
0.6259 0.1338 0.5000 Pt
0.7944 0.9641 0.5000 Pt
0.8662 0.3741 0.5000 Pt
0.9641 0.7944 0.5000 Pt
0.2720 0.4377 0.5000 Rh
0.4377 0.2720 0.5000 Rh
0.5623 0.7280 0.5000 Rh
0.7280 0.5623 0.5000 Rh
```

Summary:
Energy of formation, meV per atom: -468
Total magnetization, μB per atom: 0.00
Space group: No. 65